(1)
Entry from Alexandria: Rb3InAg2Cl9 after structural relaxation (PBE).

Output
E ... -3.10 eV/atom

Cell: 7.3933 7.3933 9.1119 Å, 90.00 90.00 120.00°
Space group P-3m1 (No. 164)
Unique sites:
Rb: 0.0000 0.0000 0.0000 x1
Rb: 0.3333 0.6667 0.6820 x2
In: 0.0000 0.0000 0.5000 x1
Ag: 0.3333 0.6667 0.1591 x2
Cl: 0.0000 0.5000 0.0000 x3
Cl: 0.1632 0.3263 0.3388 x6

---

(2)
Entry from Alexandria: AlZnFe3 after structural relaxation (PBE).

Output
E ... -5.06 eV/atom
ΔH_f (0 K) ... 1.022 eV/atom
Distance to the lowest polymorph of the same formula ... 100.09 kJ per mole of atoms

Cell: 4.362 4.362 4.362 Å, 90.00 90.00 90.00°
Space group Pm-3m (No. 221)
Unique sites:
Al: 0.000 0.000 0.000 x1
Zn: 0.500 0.500 0.500 x1
Fe: 0.000 0.500 0.500 x3

---

(3)
Entry from Alexandria: CdCuRe4 after structural relaxation (PBE).

Output
E ... -8.44 eV/atom
ΔH_f (0 K) ... 0.698 eV/atom

Cell: 7.392 7.392 7.392 Å, 90.00 90.00 90.00°
Space group F-43m (No. 216)
Unique sites:
Cd: 0.000 0.000 0.000 x4
Cu: 0.250 0.250 0.750 x4
Re: 0.125 0.125 0.375 x16

---

(4)
Entry from Alexandria: NaCa3Pt after structural relaxation (PBE).

Output
E ... -3.13 eV/atom
ΔH_f (0 K) ... -0.454 eV/atom
Distance to the lowest polymorph of the same formula ... 1.44 kJ per mole of atoms

Cell: 4.055 8.965 9.307 Å, 103.57 90.06 103.00°
Space group P1 (No. 1)
Unique sites:
Na: 0.000 0.000 0.000 x1
Na: 0.174 0.364 0.170 x1
Ca: 0.220 0.442 0.558 x1
Ca: 0.330 0.660 0.973 x1
Ca: 0.437 0.876 0.686 x1
Ca: 0.540 0.083 0.370 x1
Ca: 0.644 0.290 0.799 x1
Ca: 0.860 0.723 0.369 x1
Pt: 0.044 0.092 0.593 x1
Pt: 0.816 0.634 0.741 x1

---

(5)
Entry from Alexandria: TbHg2Pd6 after structural relaxation (PBE).

Output
E ... -4.45 eV/atom
ΔH_f (0 K) ... -0.406 eV/atom

Cell: 9.102 4.239 8.607 Å, 90.00 106.70 90.00°
Space group C2/m (No. 12)
Unique sites:
Tb: 0.000 0.000 0.000 x2
Hg: 0.190 0.500 0.241 x4
Pd: 0.014 0.000 0.337 x4
Pd: 0.156 0.500 0.882 x4
Pd: 0.157 0.500 0.553 x4

---

(6)
Entry from Alexandria: HgTeSe2N after structural relaxation (PBE).

Output
E ... -2.56 eV/atom
Distance to the lowest polymorph of the same formula ... 29.98 kJ per mole of atoms

Cell: 5.416 5.416 4.130 Å, 90.00 90.00 90.00°
Space group P4/mmm (No. 123)
Unique sites:
Hg: 0.000 0.000 0.000 x1
Te: 0.500 0.500 0.500 x1
Se: 0.000 0.500 0.000 x2
N: 0.000 0.000 0.500 x1

---

(7)
Entry from Alexandria: Pr4Dy3Er8 after structural relaxation (PBE).

Output
E ... -4.51 eV/atom
ΔH_f (0 K) ... 0.118 eV/atom

Cell: 6.9486 6.9486 35.4726 Å, 90.00 90.00 120.00°
Space group R-3m (No. 166, hexagonal axes)
Unique sites:
Pr: 0.0000 0.0000 0.0000 x3
Pr: 0.0000 0.0000 0.1634 x6
Pr: 0.0000 0.0000 0.5000 x3
Dy: 0.0000 0.5000 0.0000 x9
Er: 0.0000 0.0000 0.2555 x6
Er: 0.0019 0.5009 0.2514 x18

---

(8)
Entry from Alexandria: Nb3CuMo after structural relaxation (PBE).

Output
E ... -7.61 eV/atom
ΔH_f (0 K) ... 1.414 eV/atom
Distance to the lowest polymorph of the same formula ... 8.89 kJ per mole of atoms

Cell: 4.805 4.805 4.805 Å, 90.00 90.00 90.00°
Space group Pm-3m (No. 221)
Unique sites:
Nb: 0.000 0.000 0.500 x3
Cu: 0.500 0.500 0.500 x1
Mo: 0.000 0.000 0.000 x1